No. 1
LaSc2Tc (GGA-PBE, relaxed); crystal system = monoclinic; formation energy from the elements = 14 kJ/mol of formula units; offset from the most stable computed form = 0.130 eV per atom
1.0
-0.9749 -4.8626 -3.2786
1.5046 -5.6806 -0.9009
-3.2111 -3.4604 2.1580
Tc La Sc
1 1 2
direct
0.4942 0.4942 0.5412
0.2067 0.2067 0.2803
0.8010 0.8010 0.6870
0.9981 0.9981 0.9915



No. 2
LaScTc (GGA-PBE, relaxed); crystal system = orthorhombic; formation energy from the elements = 74 kJ/mol of formula units; offset from the most stable computed form = 0.271 eV per atom
1.0
-4.1413 -2.7386 -0.7269
0.9577 -3.5651 -3.3988
1.6320 1.5454 4.4863
Sc La Tc
1 1 1
direct
0.3342 0.3342 0.0000
0.9900 0.9900 0.0000
0.6758 0.6758 0.0000



No. 3
LaSc2Tc2 (GGA-PBE, relaxed); crystal system = tetragonal; formation energy from the elements = 20 kJ/mol of formula units
1.0
7.7708 0.0000 0.0000
0.0000 7.7708 0.0000
0.0000 0.0000 3.4053
Sc La Tc
4 2 4
direct
0.6389 0.8611 0.5000
0.8611 0.3611 0.5000
0.3611 0.1389 0.5000
0.1389 0.6389 0.5000
0.0000 0.0000 0.0000
0.5000 0.5000 0.0000
0.6520 0.1520 0.0000
0.3480 0.8480 0.0000
0.1520 0.3480 0.0000
0.8480 0.6520 0.0000



No. 4
LaScTc (GGA-PBE, relaxed); crystal system = cubic; formation energy from the elements = 283 kJ/mol of formula units; offset from the most stable computed form = 0.995 eV per atom
1.0
-3.1186 -3.3249 -0.8614
-0.3535 -1.8011 -4.2607
1.4063 -4.3471 -0.8047
Tc Sc La
1 1 1
direct
0.5000 0.5000 0.5000
0.0000 0.0000 0.0000
0.7500 0.7500 0.7500



No. 5
LaScTc2 (GGA-PBE, relaxed); crystal system = cubic; formation energy from the elements = 64 kJ/mol of formula units; offset from the most stable computed form = 0.153 eV per atom
1.0
0.0000 3.3765 3.3765
3.3765 0.0000 3.3765
3.3765 3.3765 0.0000
Tc La Sc
2 1 1
direct
0.2500 0.2500 0.2500
0.7500 0.7500 0.7500
0.5000 0.5000 0.5000
0.0000 0.0000 0.0000



No. 6
LaScTc2 (GGA-PBE, relaxed); crystal system = monoclinic; formation energy from the elements = 56 kJ/mol of formula units; offset from the most stable computed form = 0.131 eV per atom
1.0
4.1554 0.0000 0.0000
0.0000 3.2612 0.0022
0.0000 1.7492 6.5037
Tc Sc La
2 1 1
direct
0.5000 0.1953 0.1829
0.0000 0.0465 0.0303
0.5000 0.7699 0.8262
0.0000 0.4883 0.4606



No. 7
LaSc2Tc (GGA-PBE, relaxed); crystal system = orthorhombic; formation energy from the elements = 1 kJ/mol of formula units; offset from the most stable computed form = 0.094 eV per atom
1.0
6.1290 0.0078 0.0002
2.8949 5.4023 -0.0002
-3.8860 -3.7490 2.8997
La Sc Tc
1 2 1
direct
0.2500 0.7500 0.5000
0.9499 0.9499 0.0000
0.5501 0.5501 0.0000
0.7500 0.2500 0.5000



No. 8
LaScTc2 (GGA-PBE, relaxed); crystal system = monoclinic; formation energy from the elements = 102 kJ/mol of formula units; offset from the most stable computed form = 0.250 eV per atom
1.0
-3.1811 0.5904 3.0627
-1.2186 -2.7219 -0.7410
2.9313 -3.0755 3.6375
Tc La Sc
2 1 1
direct
0.0000 0.4645 0.4952
0.0000 0.0355 0.0048
0.5000 0.2500 0.2500
0.5000 0.7500 0.7500



No. 9
LaSc2TlTc (GGA-PBE, relaxed); crystal system = tetragonal; formation energy from the elements = -4 kJ/mol of formula units
1.0
4.9795 0.0000 0.0000
0.0000 4.9795 0.0000
0.0000 0.0000 5.4421
Sc Tc La Tl
2 1 1 1
direct
0.5000 0.0000 0.0000
0.0000 0.5000 0.0000
0.0000 0.0000 0.0000
0.5000 0.5000 0.5000
0.0000 0.0000 0.5000



No. 10
La2ScTlTc (GGA-PBE, relaxed); crystal system = tetragonal; formation energy from the elements = -39 kJ/mol of formula units
1.0
5.4087 0.0000 0.0000
0.0000 5.4087 0.0000
0.0000 0.0000 5.1512
Tc La Tl Sc
1 2 1 1
direct
0.0000 0.0000 0.0000
0.0000 0.5000 0.0000
0.5000 0.0000 0.0000
0.5000 0.5000 0.5000
0.0000 0.0000 0.5000



No. 11
La2YScTc (GGA-PBE, relaxed); crystal system = tetragonal; formation energy from the elements = 55 kJ/mol of formula units
1.0
-3.8110 -3.1571 2.3282
-0.6251 -2.7158 -4.7059
3.7312 -3.4158 1.4756
La Sc Tc Y
2 1 1 1
direct
0.0000 0.5000 0.0000
0.5000 0.0000 0.0000
0.0000 0.0000 0.5000
0.0000 0.0000 0.0000
0.5000 0.5000 0.5000



No. 12
LaScTe2 (GGA-PBE, relaxed); E_form (uncorrected) = -4.626 eV per formula unit; crystal system = cubic; offset from the most stable computed form = 0.192 eV per atom
1.0
0.0000 3.8110 3.8110
3.8110 0.0000 3.8110
3.8110 3.8110 0.0000
Te La Sc
2 1 1
direct
0.7500 0.7500 0.7500
0.2500 0.2500 0.2500
0.5000 0.5000 0.5000
0.0000 0.0000 0.0000



No. 13
LaScTe2 (GGA-PBE, relaxed); E_form (uncorrected) = -4.609 eV per formula unit; crystal system = tetragonal; offset from the most stable computed form = 0.196 eV per atom
1.0
-2.0894 -3.0765 0.7437
2.2255 -0.7891 2.9679
-4.5277 4.1633 4.5021
Te Sc La
2 1 1
direct
0.0000 0.0000 0.5173
0.0000 0.0000 0.9827
0.5000 0.5000 0.7500
0.5000 0.5000 0.2500



No. 14
LaScTe2 (GGA-PBE, relaxed); E_form (uncorrected) = -5.360 eV per formula unit; crystal system = monoclinic; offset from the most stable computed form = 0.008 eV per atom
1.0
-2.2015 3.4448 -1.4353
-1.3821 0.1213 -4.1047
-7.4279 -1.9471 0.1441
La Sc Te
1 1 2
direct
0.7500 0.7500 0.7500
0.2500 0.2500 0.2500
0.9897 0.9897 0.0308
0.5103 0.5103 0.4692



No. 15
La2ScTe (GGA-PBE, relaxed); E_form (uncorrected) = -2.047 eV per formula unit; crystal system = trigonal
1.0
-1.3086 -0.9036 9.9771
-4.2799 -3.0466 8.6297
-0.7245 -4.6247 8.9531
Sc La Te
1 2 1
direct
0.4855 0.4855 0.4855
0.2453 0.2453 0.2453
0.0122 0.0122 0.0122
0.7570 0.7570 0.7570



No. 16
La2ScTe (GGA-PBE, relaxed); E_form (uncorrected) = -2.170 eV per formula unit; crystal system = tetragonal
1.0
-3.0640 -2.3506 4.0980
-2.5415 -3.2972 -3.7915
2.7134 -2.6660 0.4996
Te Sc La
1 1 2
direct
0.0000 0.5000 0.5000
0.5000 0.0000 0.5000
0.0000 0.0000 0.0000
0.5000 0.5000 0.0000



No. 17
La2ScTe4 (GGA-PBE, relaxed); E_form (uncorrected) = -9.301 eV per formula unit; crystal system = monoclinic
1.0
-7.2854 -0.6240 -2.3694
2.3777 -1.4873 -6.9193
2.4727 -8.0270 2.5751
Te La Sc
8 4 2
direct
0.5139 0.4907 0.2526
0.4861 0.5093 0.7474
0.5139 0.0093 0.2526
0.9564 0.2500 0.6021
0.0397 0.7500 0.8727
0.4861 0.9907 0.7474
0.0436 0.7500 0.3979
0.9603 0.2500 0.1273
0.2792 0.2500 0.9438
0.7208 0.7500 0.0562
0.2836 0.2500 0.4469
0.7164 0.7500 0.5531
0.7627 0.2500 0.8162
0.2373 0.7500 0.1838



No. 18
LaScTe3 (GGA-PBE, relaxed); E_form (uncorrected) = -6.977 eV per formula unit; crystal system = orthorhombic; offset from the most stable computed form = 0.000 eV per atom
1.0
4.3825 0.0000 0.0000
0.0000 9.1130 0.0000
0.0000 0.0000 15.2645
Te Sc La
12 4 4
direct
0.7500 0.1889 0.2865
0.7500 0.3459 0.0123
0.2500 0.1541 0.5123
0.7500 0.9760 0.8806
0.7500 0.6889 0.2135
0.7500 0.4760 0.6194
0.2500 0.3111 0.7865
0.2500 0.5240 0.3806
0.2500 0.8111 0.7135
0.2500 0.0240 0.1194
0.2500 0.6541 0.9877
0.7500 0.8459 0.4877
0.2500 0.1562 0.9507
0.2500 0.6562 0.5493
0.7500 0.8438 0.0493
0.7500 0.3438 0.4507
0.7500 0.0912 0.6727
0.2500 0.4088 0.1727
0.2500 0.9088 0.3273
0.7500 0.5912 0.8273



No. 19
La3Sc5Te12 (GGA-PBE, relaxed); E_form (uncorrected) = -24.706 eV per formula unit; crystal system = cubic
1.0
15.4622 0.0000 0.0000
-5.1541 14.5779 0.0000
-5.1541 -7.2890 12.6249
Te Sc La
48 20 12
direct
0.8768 0.5902 0.9142
0.4098 0.2866 0.3241
0.9142 0.8241 0.5375
0.4625 0.7866 0.8768
0.1759 0.0858 0.9625
0.0375 0.4142 0.8241
0.6759 0.2134 0.5902
0.9142 0.0902 0.8768
0.4142 0.3768 0.5902
0.7866 0.4625 0.3768
0.5858 0.9625 0.6759
0.7134 0.1232 0.0375
0.6759 0.4625 0.5858
0.1232 0.4098 0.0858
0.4625 0.6759 0.0858
0.2134 0.5375 0.6232
0.0858 0.1759 0.4625
0.0902 0.9142 0.3768
0.2866 0.8768 0.9625
0.8241 0.9098 0.2866
0.0375 0.6232 0.7134
0.1232 0.7134 0.5375
0.3768 0.4142 0.0902
0.9625 0.3768 0.2866
0.9098 0.8241 0.7866
0.2866 0.4098 0.8241
0.1759 0.0902 0.7134
0.5902 0.8768 0.4142
0.9098 0.0858 0.6232
0.6232 0.5858 0.9098
0.8768 0.2866 0.4625
0.0902 0.1759 0.2134
0.3768 0.9625 0.7866
0.3241 0.7866 0.4098
0.4098 0.1232 0.5858
0.5858 0.6232 0.4098
0.5902 0.7134 0.6759
0.6232 0.0375 0.2134
0.8241 0.9142 0.0375
0.3241 0.5375 0.4142
0.7866 0.3241 0.9098
0.4142 0.0375 0.3241
0.5375 0.3241 0.9142
0.2134 0.6759 0.0902
0.0858 0.9098 0.1232
0.7134 0.5902 0.1759
0.9625 0.5858 0.1759
0.5375 0.2134 0.1232
0.3750 0.2500 0.1250
0.2500 0.3750 0.6250
0.5000 0.5000 0.0000
0.6250 0.8750 0.2500
0.5000 0.0000 0.0000
0.8750 0.2500 0.6250
0.0000 0.5000 0.0000
0.7500 0.6250 0.3750
0.6250 0.7500 0.8750
0.7500 0.1250 0.8750
0.1250 0.7500 0.3750
0.5000 0.0000 0.5000
0.0000 0.5000 0.5000
0.0000 0.0000 0.5000
0.0000 0.0000 0.0000
0.8750 0.6250 0.7500
0.1250 0.3750 0.2500
0.5000 0.5000 0.5000
0.2500 0.8750 0.1250
0.3750 0.1250 0.7500
0.3750 0.7500 0.6250
0.8750 0.7500 0.1250
0.8750 0.1250 0.2500
0.7500 0.8750 0.6250
0.1250 0.2500 0.8750
0.3750 0.6250 0.2500
0.2500 0.1250 0.3750
0.2500 0.6250 0.8750
0.1250 0.8750 0.7500
0.7500 0.3750 0.1250
0.6250 0.3750 0.7500
0.6250 0.2500 0.3750



No. 20
La2ScTe (GGA-PBE, relaxed); E_form (uncorrected) = -1.117 eV per formula unit; crystal system = cubic
1.0
5.4547 0.0000 0.0000
2.7274 4.7239 0.0000
2.7274 1.5746 4.4538
Sc La Te
1 2 1
direct
0.5000 0.5000 0.5000
0.2500 0.2500 0.2500
0.0000 0.0000 0.0000
0.7500 0.7500 0.7500